Entry 1:
A plane-wave DFT calculation with PBE-GGA was carried out for crystalline B2SbMo3 at its relaxed geometry.

As for the total energy: -8.458 eV per atom. The value obtained for the total moment is 0.000 μB per atom. Its symmetry is P6_3/mmc (194). Its crystal system is hexagonal.

Lattice parameters (Å, degrees): 3.2346 3.2346 18.3525 90.00 90.00 120.00
Closest atoms and distances in Å follow each position.
Positions (direct):
B 0.3333 0.6667 0.0704  6 Mo 2.18-2.27
B 0.3333 0.6667 0.4296  6 Mo 2.18-2.27
B 0.6667 0.3333 0.5704  6 Mo 2.18-2.27
B 0.6667 0.3333 0.9296  6 Mo 2.18-2.27
Sb 0.0000 0.0000 0.2500  6 Mo 2.86
Sb 0.0000 0.0000 0.7500  6 Mo 2.86
Mo 0.0000 0.0000 0.0000  6 B 2.27
Mo 0.0000 0.0000 0.5000  6 B 2.27
Mo 0.3333 0.6667 0.6316  3 B 2.18
Mo 0.3333 0.6667 0.8684  3 B 2.18
Mo 0.6667 0.3333 0.1316  3 B 2.18
Mo 0.6667 0.3333 0.3684  3 B 2.18

Entry 2:
A plane-wave DFT calculation with PBE-GGA was carried out for crystalline GaAs2Ir at its relaxed geometry.

As for the total energy: -5.004 eV per atom. The value obtained for the total moment is 0.000 μB per atom. Its symmetry is F-43m (216). Its crystal system is cubic.

Lattice parameters (Å, degrees): 4.5686 4.5686 4.5686 60.00 60.00 60.00
Closest atoms and distances in Å follow each position.
Positions (direct):
Ga 0.0000 0.0000 0.0000  4 As 2.80, 4 Ir 2.80
As 0.5000 0.5000 0.5000  4 As 2.80, 4 Ir 2.80
As 0.7500 0.7500 0.7500  4 As 2.80, 4 Ga 2.80
Ir 0.2500 0.2500 0.2500  4 As 2.80, 4 Ga 2.80

Entry 3:
A plane-wave DFT calculation with PBE-GGA was carried out for crystalline ZrAgPdSe3 at its relaxed geometry.

As for the total energy: -5.175 eV per atom. The value obtained for the total moment is 0.001 μB per atom. Its symmetry is Cmcm (63). Its crystal system is orthorhombic.

Lattice parameters (Å, degrees): 6.9960 6.9960 10.0225 90.00 90.00 148.82
Closest atoms and distances in Å follow each position.
Positions (direct):
Zr 0.0000 0.0000 0.0000  6 Se 2.74-2.84
Zr 0.0000 0.0000 0.5000  6 Se 2.74-2.84
Ag 0.1959 0.8041 0.7500  4 Se 2.88, 2 Pd 2.92
Ag 0.8041 0.1959 0.2500  4 Se 2.88, 2 Pd 2.92
Pd 0.4703 0.5297 0.2500  4 Se 2.55-2.57
Pd 0.5297 0.4703 0.7500  4 Se 2.55-2.57
Se 0.0985 0.9015 0.2500  2 Pd 2.55, 2 Zr 2.84
Se 0.3560 0.6440 0.0444  1 Pd 2.57, 2 Zr 2.74, 2 Ag 2.88
Se 0.3560 0.6440 0.4556  1 Pd 2.57, 2 Zr 2.74, 2 Ag 2.88
Se 0.6440 0.3560 0.5444  1 Pd 2.57, 2 Zr 2.74, 2 Ag 2.88
Se 0.6440 0.3560 0.9556  1 Pd 2.57, 2 Zr 2.74, 2 Ag 2.88
Se 0.9015 0.0985 0.7500  2 Pd 2.55, 2 Zr 2.84

Entry 4:
A plane-wave DFT calculation with PBE-GGA was carried out for crystalline Cs4CuSb2Cl12 at its relaxed geometry.

As for the total energy: -3.327 eV per atom. Its symmetry is C2/m (12). Its crystal system is monoclinic.

Lattice parameters (Å, degrees): 7.5547 7.5547 13.1682 109.56 109.56 58.17
Closest atoms and distances in Å follow each position.
Positions (direct):
Cs 0.1244 0.1244 0.3735  12 Cl 3.63-3.81
Cs 0.3746 0.3746 0.1239  12 Cl 3.67-3.80
Cs 0.6254 0.6254 0.8761  12 Cl 3.67-3.80
Cs 0.8756 0.8756 0.6265  12 Cl 3.63-3.81
Cu 0.0000 0.0000 0.0000  4 Cl 2.35
Sb 0.2517 0.2517 0.7484  4 Cl 2.49-2.65
Sb 0.7483 0.7483 0.2516  4 Cl 2.49-2.65
Cl 0.1085 0.6274 0.3706  1 Sb 2.49
Cl 0.1135 0.6603 0.8868  1 Cu 2.35
Cl 0.1295 0.1295 0.8676  1 Sb 2.65, 1 Cu 2.87
Cl 0.3397 0.8865 0.1132  1 Cu 2.35
Cl 0.3685 0.3685 0.6294  1 Sb 2.59
Cl 0.3726 0.8915 0.6294  1 Sb 2.49
Cl 0.6274 0.1085 0.3706  1 Sb 2.49
Cl 0.6315 0.6315 0.3706  1 Sb 2.59
Cl 0.6603 0.1135 0.8868  1 Cu 2.35
Cl 0.8705 0.8705 0.1324  1 Sb 2.65, 1 Cu 2.87
Cl 0.8865 0.3397 0.1132  1 Cu 2.35
Cl 0.8915 0.3726 0.6294  1 Sb 2.49

Entry 5:
A plane-wave DFT calculation with PBE-GGA was carried out for crystalline CsPbAuS3 at its relaxed geometry.

As for the total energy: -3.741 eV per atom. Its symmetry is Cmcm (63). Its crystal system is orthorhombic.

Lattice parameters (Å, degrees): 7.6155 7.6155 11.3316 90.00 90.00 146.27
Closest atoms and distances in Å follow each position.
Positions (direct):
Cs 0.2171 0.7829 0.7500  8 S 3.62-3.95, 2 Au 3.69
Cs 0.7829 0.2171 0.2500  8 S 3.62-3.95, 2 Au 3.69
Pb 0.5000 0.5000 0.0000  6 S 2.83-2.91
Pb 0.5000 0.5000 0.5000  6 S 2.83-2.91
Au 0.0799 0.9201 0.2500  4 S 2.40-2.51
Au 0.9201 0.0799 0.7500  4 S 2.40-2.51
S 0.1244 0.8756 0.0460  1 Au 2.40
S 0.1244 0.8756 0.4540  1 Au 2.40
S 0.4983 0.5017 0.2500  2 Au 2.51
S 0.5017 0.4983 0.7500  2 Au 2.51
S 0.8756 0.1244 0.5460  1 Au 2.40
S 0.8756 0.1244 0.9540  1 Au 2.40

Entry 6:
A plane-wave DFT calculation with PBE-GGA was carried out for crystalline Tm2Lu5Ni2Te2 at its relaxed geometry.

The energy above the most stable polymorph in this dataset is 0.00 eV per formula unit. The value obtained for the total moment is 0.001 μB per atom. Its symmetry is Imm2 (44). Its crystal system is orthorhombic.

Lattice parameters (Å, degrees): 9.1554 9.1554 9.1554 156.04 67.30 118.17
Closest atoms and distances in Å follow each position.
Positions (direct):
Tm 0.1466 0.0000 0.1466  2 Ni 2.78, 2 Te 3.11
Tm 0.8534 0.0000 0.8534  2 Ni 2.78, 2 Te 3.11
Lu 0.1668 0.3522 0.8147  2 Ni 2.74
Lu 0.2285 0.7285 0.5000  3 Te 3.15-3.19
Lu 0.5117 0.1467 0.3650  2 Ni 2.73
Lu 0.5375 0.3522 0.1853  2 Ni 2.74
Lu 0.7817 0.1467 0.6350  2 Ni 2.73
Ni 0.3964 0.6599 0.7365  4 Lu 2.73-2.74, 2 Tm 2.78
Ni 0.9233 0.6599 0.2635  4 Lu 2.73-2.74, 2 Tm 2.78
Te 0.4956 0.4956 0.0000  8 Lu 3.13-3.15
Te 0.8896 0.3896 0.5000  3 Lu 3.08-3.19, 4 Tm 3.11

Entry 7:
A plane-wave DFT calculation with PBE-GGA was carried out for crystalline GdYAlIr2 at its relaxed geometry.

As for the total energy: -7.428 eV per atom. The value obtained for the total moment is 0.000 μB per atom. Its symmetry is Imm2 (44). Its crystal system is orthorhombic.

Lattice parameters (Å, degrees): 5.5883 5.5883 5.5883 136.88 116.98 79.42
Closest atoms and distances in Å follow each position.
Positions (direct):
Gd 0.0000 0.0000 0.0000  6 Ir 3.00-3.02, 2 Al 3.31
Y 0.6037 0.6037 0.0000  6 Ir 3.00-3.02, 2 Al 3.31
Al 0.3019 0.8019 0.5000  4 Ir 2.55
Ir 0.0433 0.3019 0.7414  2 Al 2.55, 1 Ir 2.82
Ir 0.5605 0.3019 0.2586  2 Al 2.55, 1 Ir 2.82

Entry 8:
A plane-wave DFT calculation with PBE-GGA was carried out for crystalline LuNpCu at its relaxed geometry.

The energy above the most stable polymorph in this dataset is 0.00 eV per formula unit. The value obtained for the total moment is 1.527 μB per atom. Its symmetry is F-43m (216). The formation energy comes out at 0.58 eV per atom. Its crystal system is cubic.

Lattice parameters (Å, degrees): 4.5958 4.5958 4.5958 60.00 60.00 60.00
Closest atoms and distances in Å follow each position.
Positions (direct):
Lu 0.0000 0.0000 0.0000  4 Cu 2.81
Np 0.5000 0.5000 0.5000  4 Cu 2.81
Cu 0.2500 0.2500 0.2500  4 Np 2.81, 4 Lu 2.81

Copy entry 8 word for word.
A plane-wave DFT calculation with PBE-GGA was carried out for crystalline LuNpCu at its relaxed geometry.

The energy above the most stable polymorph in this dataset is 0.00 eV per formula unit. The value obtained for the total moment is 1.527 μB per atom. Its symmetry is F-43m (216). The formation energy comes out at 0.58 eV per atom. Its crystal system is cubic.

Lattice parameters (Å, degrees): 4.5958 4.5958 4.5958 60.00 60.00 60.00
Closest atoms and distances in Å follow each position.
Positions (direct):
Lu 0.0000 0.0000 0.0000  4 Cu 2.81
Np 0.5000 0.5000 0.5000  4 Cu 2.81
Cu 0.2500 0.2500 0.2500  4 Np 2.81, 4 Lu 2.81